No. 1
A relaxed structure of Lu2AlTl, computed with PBE-GGA.

Calculated values
The value obtained for the total energy is -3.99 eV per atom. As for the formation energy from the elements: -0.199 eV/atom.

CIF file:
```
data_Lu2AlTl
_chemical_formula_sum 'Lu6 Al3 Tl3'
_cell_length_a 3.5538
_cell_length_b 3.5538
_cell_length_c 28.2325
_cell_angle_alpha 90.00
_cell_angle_beta 90.00
_cell_angle_gamma 120.00
_symmetry_space_group_name_H-M 'R -3 m'
_symmetry_Int_Tables_number 166
_symmetry_space_group_name_Hall '-R 3 2"'
loop_
_atom_site_label
_atom_site_fract_x
_atom_site_fract_y
_atom_site_fract_z
Lu1 0.0000 0.0000 0.2452
Al1 0.0000 0.0000 0.5000
Tl1 0.0000 0.0000 0.0000
```

***

No. 2
A relaxed structure of LuAlTl2, computed with PBE-GGA.

Calculated values
The value obtained for the total energy is -3.37 eV per atom. As for the formation energy from the elements: -0.123 eV/atom.

CIF file:
```
data_LuAlTl2
_chemical_formula_sum 'Lu1 Al1 Tl2'
_cell_length_a 4.594
_cell_length_b 4.594
_cell_length_c 4.556
_cell_angle_alpha 90.00
_cell_angle_beta 90.00
_cell_angle_gamma 90.00
_symmetry_space_group_name_H-M 'P 4/m m m'
_symmetry_Int_Tables_number 123
_symmetry_space_group_name_Hall '-P 4 2'
loop_
_atom_site_label
_atom_site_fract_x
_atom_site_fract_y
_atom_site_fract_z
Lu1 0.000 0.000 0.000
Al1 0.500 0.500 0.000
Tl1 0.000 0.500 0.500
```

***

No. 3
A relaxed structure of Lu2AlTl, computed with PBE-GGA.

Calculated values
The value obtained for the total energy is -4.10 eV per atom. As for the formation energy from the elements: -0.310 eV/atom.

CIF file:
```
data_Lu2AlTl
_chemical_formula_sum 'Lu2 Al1 Tl1'
_cell_length_a 3.528
_cell_length_b 3.528
_cell_length_c 7.775
_cell_angle_alpha 90.00
_cell_angle_beta 90.00
_cell_angle_gamma 90.00
_symmetry_space_group_name_H-M 'P 4/m m m'
_symmetry_Int_Tables_number 123
_symmetry_space_group_name_Hall '-P 4 2'
loop_
_atom_site_label
_atom_site_fract_x
_atom_site_fract_y
_atom_site_fract_z
Lu1 0.000 0.000 0.233
Al1 0.500 0.500 0.000
Tl1 0.500 0.500 0.500
```

***

No. 4
A relaxed structure of TmLuAlTl, computed with PBE-GGA.

Calculated values
The value obtained for the total energy is -4.07 eV per atom. As for the formation energy from the elements: -0.290 eV/atom.

CIF file:
```
data_TmLuAlTl
_chemical_formula_sum 'Tm4 Lu4 Al4 Tl4'
_cell_length_a 7.314
_cell_length_b 7.314
_cell_length_c 7.314
_cell_angle_alpha 90.00
_cell_angle_beta 90.00
_cell_angle_gamma 90.00
_symmetry_space_group_name_H-M 'F -4 3 m'
_symmetry_Int_Tables_number 216
_symmetry_space_group_name_Hall 'F -4 2 3'
loop_
_atom_site_label
_atom_site_fract_x
_atom_site_fract_y
_atom_site_fract_z
Tm1 0.000 0.000 0.000
Lu1 0.000 0.000 0.500
Al1 0.250 0.250 0.750
Tl1 0.250 0.250 0.250
```

***

No. 5
A relaxed structure of TmLuAl, computed with PBE-GGA.

Calculated values
The energy above the most stable polymorph in this dataset comes out at 0 meV per atom. The value obtained for the total energy is -4.51 eV per atom. As for the formation energy from the elements: -0.265 eV/atom.

CIF file:
```
data_TmLuAl
_chemical_formula_sum 'Tm2 Lu2 Al2'
_cell_length_a 3.383
_cell_length_b 3.383
_cell_length_c 13.127
_cell_angle_alpha 90.00
_cell_angle_beta 90.00
_cell_angle_gamma 90.00
_symmetry_space_group_name_H-M 'I 4 m m'
_symmetry_Int_Tables_number 107
_symmetry_space_group_name_Hall 'I 4 -2'
loop_
_atom_site_label
_atom_site_fract_x
_atom_site_fract_y
_atom_site_fract_z
Tm1 0.000 0.000 0.000
Lu1 0.000 0.000 0.699
Al1 0.000 0.000 0.348
```

***

No. 6
A relaxed structure of Tm2LuAl, computed with PBE-GGA.

Calculated values
The energy above the most stable polymorph in this dataset comes out at 128 meV per atom. The value obtained for the total energy is -4.37 eV per atom. As for the formation energy from the elements: -0.071 eV/atom.

CIF file:
```
data_Tm2LuAl
_chemical_formula_sum 'Tm8 Lu4 Al4'
_cell_length_a 7.434
_cell_length_b 7.434
_cell_length_c 7.434
_cell_angle_alpha 90.00
_cell_angle_beta 90.00
_cell_angle_gamma 90.00
_symmetry_space_group_name_H-M 'F m -3 m'
_symmetry_Int_Tables_number 225
_symmetry_space_group_name_Hall '-F 4 2 3'
loop_
_atom_site_label
_atom_site_fract_x
_atom_site_fract_y
_atom_site_fract_z
Tm1 0.250 0.250 0.250
Lu1 0.000 0.000 0.000
Al1 0.000 0.000 0.500
```

***

No. 7
A relaxed structure of TmLuAl2, computed with PBE-GGA.

Calculated values
The energy above the most stable polymorph in this dataset comes out at 1 meV per atom. The value obtained for the total energy is -4.50 eV per atom. As for the formation energy from the elements: -0.383 eV/atom.

CIF file:
```
data_TmLuAl2
_chemical_formula_sum 'Tm1 Lu1 Al2'
_cell_length_a 5.014
_cell_length_b 5.014
_cell_length_c 3.518
_cell_angle_alpha 90.00
_cell_angle_beta 90.00
_cell_angle_gamma 90.00
_symmetry_space_group_name_H-M 'P 4/m m m'
_symmetry_Int_Tables_number 123
_symmetry_space_group_name_Hall '-P 4 2'
loop_
_atom_site_label
_atom_site_fract_x
_atom_site_fract_y
_atom_site_fract_z
Tm1 0.000 0.000 0.000
Lu1 0.500 0.500 0.000
Al1 0.000 0.500 0.500
```

***

No. 8
A relaxed structure of TmLuAl2, computed with PBE-GGA.

Calculated values
The energy above the most stable polymorph in this dataset comes out at 0 meV per atom. The value obtained for the total energy is -4.50 eV per atom. As for the formation energy from the elements: -0.384 eV/atom.

CIF file:
```
data_TmLuAl2
_chemical_formula_sum 'Tm4 Lu4 Al8'
_cell_length_a 7.082
_cell_length_b 7.082
_cell_length_c 7.082
_cell_angle_alpha 90.00
_cell_angle_beta 90.00
_cell_angle_gamma 90.00
_symmetry_space_group_name_H-M 'F m -3 m'
_symmetry_Int_Tables_number 225
_symmetry_space_group_name_Hall '-F 4 2 3'
loop_
_atom_site_label
_atom_site_fract_x
_atom_site_fract_y
_atom_site_fract_z
Tm1 0.000 0.000 0.000
Lu1 0.000 0.000 0.500
Al1 0.250 0.250 0.250
```